Density functional theory data (PBE+U) for a relaxed structure of Mn2ZnO3.

V in Å³/atom: 11.07
Electronic total energy in eV per cell: -80.2
SG: Immm (71)
D(E_F) in states/eV/f.u.: 1.03

abc: 3.1520 4.4663 9.4329
angles: 90.00 90.00 90.00
With the nearest neighbours (Å) after each atom.
Fractional positions:
Mn (0.0000, 0.0000, 0.1654)  6 O 2.22-2.27
Mn (0.0000, 0.0000, 0.8346)  6 O 2.22-2.27
Mn (0.5000, 0.5000, 0.3346)  6 O 2.22-2.27
Mn (0.5000, 0.5000, 0.6654)  6 O 2.22-2.27
Zn (0.0000, 0.0000, 0.5000)  6 O 2.19-2.23
Zn (0.5000, 0.5000, 0.0000)  6 O 2.19-2.23
O (0.0000, 0.5000, 0.1618)  2 Zn 2.19, 4 Mn 2.23-2.27
O (0.0000, 0.5000, 0.5000)  4 Mn 2.22, 2 Zn 2.23
O (0.0000, 0.5000, 0.8382)  2 Zn 2.19, 4 Mn 2.23-2.27
O (0.5000, 0.0000, 0.0000)  4 Mn 2.22, 2 Zn 2.23
O (0.5000, 0.0000, 0.3382)  2 Zn 2.19, 4 Mn 2.23-2.27
O (0.5000, 0.0000, 0.6618)  2 Zn 2.19, 4 Mn 2.23-2.27